[1]
A plane-wave DFT calculation with GGA-PBE was carried out for an optimized crystal structure of MnCr4C.

VASP energy = -9.199 eV/atom
formation energy = 0.28 eV per atom
total magnetization = 0.00 μB per cell
DOS(E_F) = 14.49 states/eV per cell

abc: 4.6723 5.8799 5.0244
angles: 104.97 90.00 90.00
Last column: nearest neighbours and their distance in Å.
Element x y z (fractional)
Mn: 0.0000 0.5000 0.5000  4 Cr 2.19
Mn: 0.5000 0.0000 0.5000  4 Cr 2.19
Cr: 0.1456 0.7045 0.0877  2 C 2.02-2.03
Cr: 0.3544 0.2045 0.0877  2 C 2.02-2.03
Cr: 0.5932 0.6216 0.3708  1 C 1.87
Cr: 0.0932 0.8784 0.6292  1 C 1.87
Cr: 0.9068 0.1216 0.3708  1 C 1.87
Cr: 0.4068 0.3784 0.6292  1 C 1.87
Cr: 0.6456 0.7955 0.9123  2 C 2.02-2.03
Cr: 0.8544 0.2955 0.9123  2 C 2.02-2.03
C: 0.5000 0.5000 0.0000  6 Cr 1.87-2.03
C: 0.0000 0.0000 0.0000  6 Cr 1.87-2.03


[2]
A plane-wave DFT calculation with GGA-PBE was carried out for an optimized crystal structure of Ac4SmRe3N12.

VASP energy = -8.496 eV/atom
total magnetization = 0.00 μB per cell
energy relative to the elements, uncorrected = -0.5763 eV/atom
DOS(E_F) = 7.23 states/eV per cell

abc: 7.1848 7.1848 7.1848
angles: 109.47 109.47 109.47
Last column: nearest neighbours and their distance in Å.
Element x y z (fractional)
Ac: 0.5000 0.5000 0.5000  12 N 2.93-2.94
Ac: 0.0000 0.0000 0.5000  12 N 2.93-2.94
Ac: 0.5000 0.0000 0.0000  12 N 2.93-2.94
Ac: 0.0000 0.5000 0.0000  12 N 2.93-2.94
Sm: 0.0000 0.0000 0.0000  6 N 2.26
Re: 0.5000 0.0000 0.5000  6 N 1.89-2.07
Re: 0.5000 0.5000 0.0000  6 N 1.89-2.07
Re: 0.0000 0.5000 0.5000  6 N 1.89-2.07
N: 0.2500 0.5000 0.7500  2 Re 2.07
N: 0.7282 0.0000 0.7282  1 Re 1.89
N: 0.2718 0.0000 0.2718  1 Re 1.89
N: 0.7500 0.5000 0.2500  2 Re 2.07
N: 0.7282 0.7282 0.0000  1 Re 1.89
N: 0.2718 0.2718 0.0000  1 Re 1.89
N: 0.7500 0.2500 0.5000  2 Re 2.07
N: 0.2500 0.7500 0.5000  2 Re 2.07
N: 0.5000 0.2500 0.7500  2 Re 2.07
N: 0.0000 0.7282 0.7282  1 Re 1.89
N: 0.5000 0.7500 0.2500  2 Re 2.07
N: 0.0000 0.2718 0.2718  1 Re 1.89


[3]
A plane-wave DFT calculation with GGA-PBE was carried out for an optimized crystal structure of PuGe2PbO8.

VASP energy = -7.161 eV/atom
total magnetization = 2.00 μB per cell
energy relative to the elements, uncorrected = -1.5824 eV/atom
DOS(E_F) = 5.74 states/eV per cell

abc: 5.0235 5.0235 9.0415
angles: 73.87 73.87 60.00
Last column: nearest neighbours and their distance in Å.
Element x y z (fractional)
Pu: 0.5000 0.5000 0.5000  6 O 2.10
Ge: 0.7522 0.7522 0.7435  4 O 1.73-1.78
Ge: 0.2478 0.2478 0.2565  4 O 1.73-1.78
Pb: 0.0000 0.0000 0.0000  6 O 2.94
O: 0.6850 0.6850 0.9450  1 Ge 1.73
O: 0.3150 0.3150 0.0550  1 Ge 1.73
O: 0.5289 0.2487 0.3402  1 Ge 1.78
O: 0.7513 0.4711 0.6598  1 Ge 1.78
O: 0.1178 0.7513 0.6598  1 Ge 1.78
O: 0.2487 0.8822 0.3402  1 Ge 1.78
O: 0.8822 0.5289 0.3402  1 Ge 1.78
O: 0.4711 0.1178 0.6598  1 Ge 1.78


[4]
A plane-wave DFT calculation with GGA-PBE was carried out for an optimized crystal structure of CaZnRe2Se.

VASP energy = -4.874 eV/atom
total magnetization = 0.46 μB per cell
energy relative to the elements, uncorrected = 1.4573 eV/atom
DOS(E_F) = 6.37 states/eV per cell

abc: 4.5926 5.2117 4.5926
angles: 90.00 90.00 90.00
Last column: nearest neighbours and their distance in Å.
Element x y z (fractional)
Re: 0.0000 0.0000 0.5000  2 Zn 2.30
Re: 0.5000 0.0000 0.0000  2 Zn 2.30
Zn: 0.0000 0.0000 0.0000  4 Re 2.30
Ca: 0.0000 0.5000 0.0000  2 Zn 2.61
Se: 0.5000 0.5000 0.5000  4 Ca 3.25, 8 Re 3.47


[5]
A plane-wave DFT calculation with GGA-PBE was carried out for an optimized crystal structure of CeYPa2.

VASP energy = -7.681 eV/atom
formation energy = 0.17 eV per atom
total magnetization = 0.00 μB per cell
DOS(E_F) = 7.91 states/eV per cell

abc: 3.1929 3.1929 10.3274
angles: 90.00 90.00 90.00
Last column: nearest neighbours and their distance in Å.
Element x y z (fractional)
Y: 0.5000 0.5000 0.5000  4 Y 3.19, 8 Pa 3.51
Pa: 0.0000 0.0000 0.7600  4 Pa 3.19, 4 Ce 3.35, 4 Y 3.51
Pa: 0.0000 0.0000 0.2400  4 Pa 3.19, 4 Ce 3.35, 4 Y 3.51
Ce: 0.5000 0.5000 0.0000  4 Ce 3.19, 8 Pa 3.35


[6]
A plane-wave DFT calculation with GGA-PBE was carried out for an optimized crystal structure of SbCF2.

VASP energy = -3.747 eV/atom
total magnetization = 0.00 μB per cell
energy relative to the elements, uncorrected = 0.5249 eV/atom
DOS(E_F) = 1.30 states/eV per cell

abc: 7.8055 7.8055 7.8055
angles: 22.46 22.46 22.46
Last column: nearest neighbours and their distance in Å.
Element x y z (fractional)
Sb: 0.5000 0.5000 0.5000  6 F 2.59
C: 0.0000 0.0000 0.0000  2 F 1.90
F: 0.9168 0.9168 0.9168  1 C 1.90
F: 0.0832 0.0832 0.0832  1 C 1.90


[7]
A plane-wave DFT calculation with GGA-PBE was carried out for an optimized crystal structure of Ba2Na2Sc.

VASP energy = -2.243 eV/atom
formation energy = 0.32 eV per atom
total magnetization = 1.68 μB per cell
DOS(E_F) = 20.48 states/eV per cell

abc: 9.0705 9.0705 5.3481
angles: 90.00 90.00 90.00
Last column: nearest neighbours and their distance in Å.
Element x y z (fractional)
Sc: 0.0000 0.0000 0.0000  4 Na 3.59
Sc: 0.5000 0.5000 0.0000  4 Na 3.59
Na: 0.3755 0.8755 0.0000  1 Na 3.19
Na: 0.8755 0.6245 0.0000  1 Na 3.19
Na: 0.6245 0.1245 0.0000  1 Na 3.19
Na: 0.1245 0.3755 0.0000  1 Na 3.19
Ba: 0.1850 0.6850 0.5000  6 Na 3.62-3.92
Ba: 0.6850 0.8150 0.5000  6 Na 3.62-3.92
Ba: 0.8150 0.3150 0.5000  6 Na 3.62-3.92
Ba: 0.3150 0.1850 0.5000  6 Na 3.62-3.92


[8]
A plane-wave DFT calculation with GGA-PBE was carried out for an optimized crystal structure of K4Sm3InSe8.

VASP energy = -4.581 eV/atom
total magnetization = 0.00 μB per cell
energy relative to the elements, uncorrected = -1.5086 eV/atom

abc: 8.5167 9.1485 8.5183
angles: 117.75 119.99 90.00
Last column: nearest neighbours and their distance in Å.
Element x y z (fractional)
K: 0.5000 0.0000 0.0000  6 Se 3.39
K: 0.5000 0.0000 0.5000  6 Se 3.32-3.33
K: 0.0000 0.0000 0.0000  6 Se 3.32-3.33
K: 0.0000 0.0000 0.5000  6 Se 3.32-3.33
Sm: 0.5000 0.5000 0.0000  6 Se 2.94-2.96
Sm: 0.5000 0.5000 0.5000  6 Se 2.94-2.96
Sm: 0.0000 0.5000 0.5000  6 Se 2.94-2.96
In: 0.0000 0.5000 0.0000  6 Se 2.87-2.88
Se: 0.2310 0.7063 0.9753  1 In 2.87, 2 Sm 2.96
Se: 0.2312 0.7064 0.4623  1 In 2.88, 2 Sm 2.96
Se: 0.2635 0.2906 0.5271  3 Sm 2.94
Se: 0.7443 0.7063 0.9753  1 In 2.87, 2 Sm 2.96
Se: 0.2557 0.2937 0.0247  1 In 2.87, 2 Sm 2.96
Se: 0.7365 0.7094 0.4729  3 Sm 2.94
Se: 0.7688 0.2936 0.5377  1 In 2.88, 2 Sm 2.96
Se: 0.7690 0.2937 0.0247  1 In 2.87, 2 Sm 2.96


[9]
A plane-wave DFT calculation with GGA-PBE was carried out for an optimized crystal structure of VSn2Te4.

VASP energy = -4.190 eV/atom
total magnetization = 1.48 μB per cell
energy relative to the elements, uncorrected = 0.0520 eV/atom
DOS(E_F) = 5.30 states/eV per cell

abc: 5.4902 5.4902 8.3929
angles: 70.91 70.91 90.00
Last column: nearest neighbours and their distance in Å.
Element x y z (fractional)
Te: 0.1805 0.1805 0.6390  1 V 2.69, 1 Sn 2.96
Te: 0.8195 0.8195 0.3610  1 V 2.69, 1 Sn 2.96
Te: 0.0000 0.5000 0.0000  2 V 2.75
Te: 0.5000 0.0000 0.0000  2 V 2.75
Sn: 0.3796 0.3796 0.2408  5 Te 2.96-3.28
Sn: 0.6204 0.6204 0.7592  5 Te 2.96-3.28
V: 0.0000 0.0000 0.0000  6 Te 2.69-2.75


[10]
A plane-wave DFT calculation with GGA-PBE was carried out for an optimized crystal structure of YAl2Ir2.

VASP energy = -7.133 eV/atom
formation energy = -0.80 eV per atom
total magnetization = 0.00 μB per cell
DOS(E_F) = 5.09 states/eV per cell

abc: 7.5763 7.5763 2.8818
angles: 90.00 90.00 90.00
Last column: nearest neighbours and their distance in Å.
Element x y z (fractional)
Y: 0.0000 0.0000 0.0000  2 Y 2.88, 4 Al 3.00, 8 Ir 3.15
Y: 0.5000 0.5000 0.0000  2 Y 2.88, 4 Al 3.00, 8 Ir 3.15
Ir: 0.1720 0.6720 0.5000  6 Al 2.63-2.69, 2 Ir 2.88
Ir: 0.6720 0.8280 0.5000  6 Al 2.63-2.69, 2 Ir 2.88
Ir: 0.8280 0.3280 0.5000  6 Al 2.63-2.69, 2 Ir 2.88
Ir: 0.3280 0.1720 0.5000  6 Al 2.63-2.69, 2 Ir 2.88
Al: 0.3769 0.8769 0.0000  6 Ir 2.63-2.69, 3 Al 2.64-2.88
Al: 0.8769 0.6231 0.0000  6 Ir 2.63-2.69, 3 Al 2.64-2.88
Al: 0.6231 0.1231 0.0000  6 Ir 2.63-2.69, 3 Al 2.64-2.88
Al: 0.1231 0.3769 0.0000  6 Ir 2.63-2.69, 3 Al 2.64-2.88


[11]
A plane-wave DFT calculation with GGA-PBE was carried out for an optimized crystal structure of Ac3P2Pt9Au.

VASP energy = -6.074 eV/atom
formation energy = -0.69 eV per atom
total magnetization = 0.00 μB per cell
DOS(E_F) = 6.61 states/eV per cell

abc: 7.4047 7.4047 6.8956
angles: 90.00 90.00 120.00
Last column: nearest neighbours and their distance in Å.
Element x y z (fractional)
Ac: 0.3333 0.6667 0.6617  6 Pt 3.06-3.16, 1 P 3.26
Ac: 0.0000 0.0000 0.0000  6 Pt 3.20, 2 Au 3.45
Ac: 0.6667 0.3333 0.3383  6 Pt 3.06-3.16, 1 P 3.26
P: 0.3333 0.6667 0.1347  6 Pt 2.32-2.33
P: 0.6667 0.3333 0.8653  6 Pt 2.32-2.33
Pt: 0.8180 0.1820 0.6821  1 P 2.32
Pt: 0.8180 0.6361 0.6821  1 P 2.32
Pt: 0.3639 0.1820 0.6821  1 P 2.32
Pt: 0.6361 0.8180 0.3179  1 P 2.32
Pt: 0.1820 0.3639 0.3179  1 P 2.32
Pt: 0.1820 0.8180 0.3179  1 P 2.32
Pt: 0.5000 0.0000 0.0000  2 P 2.33
Pt: 0.0000 0.5000 0.0000  2 P 2.33
Pt: 0.5000 0.5000 0.0000  2 P 2.33
Au: 0.0000 0.0000 0.5000  6 Pt 2.65


[12]
A plane-wave DFT calculation with GGA-PBE was carried out for an optimized crystal structure of NaMg3Fe.

VASP energy = -1.440 eV/atom
formation energy = 1.47 eV per atom
total magnetization = 0.04 μB per cell
DOS(E_F) = 7.91 states/eV per cell

abc: 4.9634 4.9634 4.9634
angles: 90.00 90.00 90.00
Last column: nearest neighbours and their distance in Å.
Element x y z (fractional)
Na: 0.0000 0.0000 0.0000  6 Mg 2.48
Mg: 0.0000 0.5000 0.0000  2 Na 2.48
Mg: 0.0000 0.0000 0.5000  2 Na 2.48
Mg: 0.5000 0.0000 0.0000  2 Na 2.48
Fe: 0.5000 0.5000 0.5000  12 Mg 3.51


> Which value of total magnetization does entry 8 give?

0.00 μB per cell